Crystalline MgMnSn2 at its relaxed geometry. Source: Alexandria, functional PBE.

Results
Energy of formation from the pure elements   0.07 eV per atom
Total moment   3.5 μB/f.u.
Calculated total energy   -4.619 eV per atom
Density of states at the Fermi level   2.4 states/eV per cell

a = 3.2107 Å, b = 3.2107 Å, c = 8.3293 Å
α = 90.00°, β = 90.00°, γ = 90.00°
With the nearest neighbours (Å) after each atom.
Atoms (fractional coordinates):
Mg  0.0000  0.0000  0.0000  4 Mg 3.21, 8 Sn 3.23
Mn  0.0000  0.0000  0.5000  8 Sn 2.94, 4 Mn 3.21
Sn  0.5000  0.5000  0.2755  4 Mn 2.94, 4 Sn 3.21, 4 Mg 3.23
Sn  0.5000  0.5000  0.7245  4 Mn 2.94, 4 Sn 3.21, 4 Mg 3.23

Crystalline MgMnSn2 at its relaxed geometry. Source: Alexandria, functional PBE.

Results
Energy of formation from the pure elements   0.09 eV per atom
Total moment   4.0 μB/f.u.
Calculated total energy   -4.602 eV per atom
Density of states at the Fermi level   1.6 states/eV per cell

a = 4.5721 Å, b = 4.5721 Å, c = 4.1413 Å
α = 90.00°, β = 90.00°, γ = 90.00°
With the nearest neighbours (Å) after each atom.
Atoms (fractional coordinates):
Mg  0.0000  0.0000  0.0000  8 Sn 3.08, 4 Mn 3.23
Mn  0.5000  0.5000  0.0000  8 Sn 3.08, 4 Mg 3.23
Sn  0.0000  0.5000  0.5000  4 Mn 3.08, 4 Mg 3.08, 4 Sn 3.23
Sn  0.5000  0.0000  0.5000  4 Mn 3.08, 4 Mg 3.08, 4 Sn 3.23

Crystalline MgMn6Sn6 at its relaxed geometry. Source: Alexandria, functional PBE.

Results
Energy of formation from the pure elements   0.00 eV per atom
Total moment   13.9 μB/f.u.
Calculated total energy   -6.201 eV per atom
Density of states at the Fermi level   7.1 states/eV per cell

a = 5.4423 Å, b = 5.4423 Å, c = 8.9468 Å
α = 90.00°, β = 90.00°, γ = 120.00°
With the nearest neighbours (Å) after each atom.
Atoms (fractional coordinates):
Mg  0.0000  0.0000  0.0000  8 Sn 2.89-3.14
Mn  0.0000  0.5000  0.2488  4 Mn 2.72, 6 Sn 2.72-2.80
Mn  0.0000  0.5000  0.7512  4 Mn 2.72, 6 Sn 2.72-2.80
Mn  0.5000  0.0000  0.2488  4 Mn 2.72, 6 Sn 2.72-2.80
Mn  0.5000  0.0000  0.7512  4 Mn 2.72, 6 Sn 2.72-2.80
Mn  0.5000  0.5000  0.2488  4 Mn 2.72, 6 Sn 2.72-2.80
Mn  0.5000  0.5000  0.7512  4 Mn 2.72, 6 Sn 2.72-2.80
Sn  0.0000  0.0000  0.3236  6 Mn 2.80, 1 Mg 2.89
Sn  0.0000  0.0000  0.6764  6 Mn 2.80, 1 Mg 2.89
Sn  0.3333  0.6667  0.0000  6 Mn 2.72
Sn  0.3333  0.6667  0.5000  6 Mn 2.74
Sn  0.6667  0.3333  0.0000  6 Mn 2.72
Sn  0.6667  0.3333  0.5000  6 Mn 2.74

Crystalline MgMn2Sn at its relaxed geometry. Source: Alexandria, functional PBE.

Results
Energy of formation from the pure elements   0.52 eV per atom
Total moment   6.6 μB/f.u.
Calculated total energy   -5.460 eV per atom
Density of states at the Fermi level   7.9 states/eV per cell

a = 5.9369 Å, b = 5.9369 Å, c = 5.9369 Å
α = 103.01°, β = 103.01°, γ = 123.34°
With the nearest neighbours (Å) after each atom.
Atoms (fractional coordinates):
Mg  0.0000  0.0000  0.0000  4 Mn 2.73, 2 Sn 2.82
Mg  0.7500  0.2500  0.5000  4 Mn 2.73, 2 Sn 2.82
Mn  0.1294  0.6250  0.0044  2 Sn 2.68, 2 Mg 2.73, 2 Mn 2.82
Mn  0.3750  0.3794  0.5044  2 Sn 2.68, 2 Mg 2.73, 2 Mn 2.82
Mn  0.6206  0.1250  0.9956  2 Sn 2.68, 2 Mg 2.73, 2 Mn 2.82
Mn  0.8750  0.8706  0.4956  2 Sn 2.68, 2 Mg 2.73, 2 Mn 2.82
Sn  0.2500  0.7500  0.5000  4 Mn 2.68, 2 Mg 2.82
Sn  0.5000  0.5000  0.0000  4 Mn 2.68, 2 Mg 2.82

Crystalline MgMnSn2 at its relaxed geometry. Source: Alexandria, functional PBE.

Results
Energy of formation from the pure elements   0.23 eV per atom
Total moment   4.1 μB/f.u.
Calculated total energy   -4.458 eV per atom
Density of states at the Fermi level   5.2 states/eV per cell

a = 9.9160 Å, b = 9.9160 Å, c = 9.9160 Å
α = 153.33°, β = 153.33°, γ = 38.08°
With the nearest neighbours (Å) after each atom.
Atoms (fractional coordinates):
Mg  0.0000  0.0000  0.0000  4 Sn 2.89, 4 Mn 3.23
Mg  0.7500  0.2500  0.5000  4 Sn 2.89, 4 Mn 3.23
Mn  0.2500  0.7500  0.5000  4 Sn 2.80
Mn  0.5000  0.5000  0.0000  4 Sn 2.80
Sn  0.1492  0.6250  0.0242  2 Mn 2.80, 2 Mg 2.89, 2 Sn 3.08
Sn  0.3750  0.3992  0.5242  2 Mn 2.80, 2 Mg 2.89, 2 Sn 3.08
Sn  0.6008  0.1250  0.9758  2 Mn 2.80, 2 Mg 2.89, 2 Sn 3.08
Sn  0.8750  0.8508  0.4758  2 Mn 2.80, 2 Mg 2.89, 2 Sn 3.08

Crystalline MgMn2Sn at its relaxed geometry. Source: Alexandria, functional PBE.

Results
Energy of formation from the pure elements   0.12 eV per atom
Total moment   5.7 μB/f.u.
Calculated total energy   -5.863 eV per atom
Density of states at the Fermi level   3.1 states/eV per cell

a = 4.1028 Å, b = 4.1028 Å, c = 3.9130 Å
α = 90.00°, β = 90.00°, γ = 90.00°
With the nearest neighbours (Å) after each atom.
Atoms (fractional coordinates):
Mg  0.0000  0.0000  0.0000  8 Mn 2.83, 4 Sn 2.90
Mn  0.0000  0.5000  0.5000  4 Sn 2.83, 4 Mg 2.83, 4 Mn 2.90
Mn  0.5000  0.0000  0.5000  4 Sn 2.83, 4 Mg 2.83, 4 Mn 2.90
Sn  0.5000  0.5000  0.0000  8 Mn 2.83, 4 Mg 2.90